1.
Below is crystalline AsWBr2N at its relaxed geometry, with properties calculated at the GGA-PBE level.

- E above lowest polymorph (meV per atom) = 430.7
- E_form (uncorrected) (eV/atom) = 1.7337
- space group = No. 123
- energy (eV per atom) = -4.121

Lattice parameters (Å, degrees): 4.385 4.385 4.796 90.00 90.00 90.00
Each line ends with the local moment (μB).
Element x y z (fractional)
As1 0.000 0.000 0.500  -0.17
Br1 0.000 0.500 0.000  0.00
Br2 0.500 0.000 0.000  0.00
W1 0.500 0.500 0.500  2.58
N1 0.000 0.000 0.000  0.01

=====

2.
Below is crystalline As2WBrN at its relaxed geometry, with properties calculated at the GGA-PBE level.

- E above lowest polymorph (meV per atom) = 0.0
- E_form (uncorrected) (eV/atom) = 1.3587
- space group = No. 123
- energy (eV per atom) = -5.091

Lattice parameters (Å, degrees): 4.853 4.853 5.347 90.00 90.00 90.00
Each line ends with the local moment (μB).
Element x y z (fractional)
As1 0.000 0.500 0.000  -0.09
As2 0.500 0.000 0.000  -0.09
Br1 0.000 0.000 0.500  0.05
W1 0.000 0.000 0.000  0.12
N1 0.500 0.500 0.500  1.82

=====

3.
Below is crystalline AsW2BrN at its relaxed geometry, with properties calculated at the GGA-PBE level.

- E_form (uncorrected) (eV/atom) = 2.0648
- space group = No. 123
- energy (eV per atom) = -6.046

Lattice parameters (Å, degrees): 4.866 3.776 4.866 90.00 90.00 90.00
Each line ends with the local moment (μB).
Element x y z (fractional)
As1 0.000 0.000 0.000  -0.02
Br1 0.500 0.500 0.500  -0.01
W1 0.000 0.000 0.500  0.80
W2 0.500 0.000 0.000  0.89
N1 0.000 0.500 0.000  0.00

=====

4.
Below is crystalline As2WBrN at its relaxed geometry, with properties calculated at the GGA-PBE level.

- E above lowest polymorph (meV per atom) = 50.9
- E_form (uncorrected) (eV/atom) = 1.4096
- space group = No. 123
- energy (eV per atom) = -5.041

Lattice parameters (Å, degrees): 4.347 4.347 4.307 90.00 90.00 90.00
Each line ends with the local moment (μB).
Element x y z (fractional)
As1 0.000 0.500 0.000  -0.06
As2 0.500 0.000 0.000  -0.06
Br1 0.000 0.000 0.500  -0.04
W1 0.500 0.500 0.500  1.64
N1 0.000 0.000 0.000  0.01

=====

5.
Below is crystalline AsWBr2N at its relaxed geometry, with properties calculated at the GGA-PBE level.

- E above lowest polymorph (meV per atom) = 0.0
- E_form (uncorrected) (eV/atom) = 1.3031
- space group = No. 123
- energy (eV per atom) = -4.552

Lattice parameters (Å, degrees): 5.200 5.200 4.852 90.00 90.00 90.00
Each line ends with the local moment (μB).
Element x y z (fractional)
As1 0.000 0.000 0.500  -0.06
Br1 0.000 0.500 0.000  0.04
Br2 0.500 0.000 0.000  0.04
W1 0.000 0.000 0.000  0.44
N1 0.500 0.500 0.500  1.88

=====

6.
Below is crystalline YAs2BrN at its relaxed geometry, with properties calculated at the GGA-PBE level.

- E above lowest polymorph (meV per atom) = 832.6
- E_form (uncorrected) (eV/atom) = 0.9776
- space group = No. 123
- energy (eV per atom) = -4.175

Lattice parameters (Å, degrees): 5.650 5.650 5.652 90.00 90.00 90.00
Each line ends with the local moment (μB).
Element x y z (fractional)
Y1 0.000 0.000 0.000  0.03
As1 0.000 0.500 0.000  0.42
As2 0.500 0.000 0.000  0.42
Br1 0.000 0.000 0.500  0.14
N1 0.500 0.500 0.500  1.91

=====

7.
Below is crystalline YAsBr2N at its relaxed geometry, with properties calculated at the GGA-PBE level.

- E above lowest polymorph (meV per atom) = 63.4
- E_form (uncorrected) (eV/atom) = 0.3029
- space group = No. 123
- energy (eV per atom) = -4.254

Lattice parameters (Å, degrees): 5.562 5.562 5.904 90.00 90.00 90.00
Each line ends with the local moment (μB).
Element x y z (fractional)
Y1 0.000 0.000 0.000  -0.02
As1 0.000 0.000 0.500  -0.73
Br1 0.000 0.500 0.000  -0.04
Br2 0.500 0.000 0.000  -0.04
N1 0.500 0.500 0.500  1.88

=====

8.
Below is crystalline YAs2BrN at its relaxed geometry, with properties calculated at the GGA-PBE level.

- E above lowest polymorph (meV per atom) = 0.0
- E_form (uncorrected) (eV/atom) = 0.1450
- space group = No. 123
- energy (eV per atom) = -5.007

Lattice parameters (Å, degrees): 4.387 4.387 4.891 90.00 90.00 90.00
Element x y z (fractional)
Y1 0.500 0.500 0.500
As1 0.000 0.500 0.000
As2 0.500 0.000 0.000
Br1 0.000 0.000 0.500
N1 0.000 0.000 0.000

=====

9.
Below is crystalline YAsBr2N at its relaxed geometry, with properties calculated at the GGA-PBE level.

- E above lowest polymorph (meV per atom) = 0.0
- E_form (uncorrected) (eV/atom) = 0.2395
- space group = No. 123
- energy (eV per atom) = -4.317

Lattice parameters (Å, degrees): 4.582 4.582 4.813 90.00 90.00 90.00
Each line ends with the local moment (μB).
Element x y z (fractional)
Y1 0.500 0.500 0.500  0.01
As1 0.000 0.000 0.500  0.00
Br1 0.000 0.500 0.000  0.05
Br2 0.500 0.000 0.000  0.05
N1 0.000 0.000 0.000  0.20

=====

10.
Below is crystalline ZnAs2BrN at its relaxed geometry, with properties calculated at the GGA-PBE level.

- E above lowest polymorph (meV per atom) = 0.0
- E_form (uncorrected) (eV/atom) = 0.9365
- space group = No. 123
- energy (eV per atom) = -3.178

Lattice parameters (Å, degrees): 4.358 4.358 4.863 90.00 90.00 90.00
Element x y z (fractional)
As1 0.000 0.500 0.000
As2 0.500 0.000 0.000
Zn1 0.500 0.500 0.500
Br1 0.000 0.000 0.500
N1 0.000 0.000 0.000

=====

11.
Below is crystalline ZnAs2BrN at its relaxed geometry, with properties calculated at the GGA-PBE level.

- E above lowest polymorph (meV per atom) = 550.0
- E_form (uncorrected) (eV/atom) = 1.4864
- space group = No. 123
- energy (eV per atom) = -2.628

Lattice parameters (Å, degrees): 4.894 4.894 5.331 90.00 90.00 90.00
Each line ends with the local moment (μB).
Element x y z (fractional)
As1 0.000 0.500 0.000  -0.31
As2 0.500 0.000 0.000  -0.31
Zn1 0.000 0.000 0.000  -0.01
Br1 0.000 0.000 0.500  -0.03
N1 0.500 0.500 0.500  1.78

=====

12.
Below is crystalline NaAsBr5 at its relaxed geometry, with properties calculated at the GGA-PBE level.

- E_form (uncorrected) (eV/atom) = -0.5276
- space group = No. 15
- energy (eV per atom) = -2.575

Lattice parameters (Å, degrees): 7.180 7.180 10.893 68.40 68.40 68.56
Element x y z (fractional)
Na1 0.598 0.402 0.250
Na2 0.402 0.598 0.750
As1 0.000 0.000 0.000
As2 0.000 0.000 0.500
Br1 0.713 0.814 0.114
Br2 0.348 0.716 0.470
Br3 0.814 0.713 0.614
Br4 0.965 0.035 0.250
Br5 0.284 0.652 0.030
Br6 0.716 0.348 0.970
Br7 0.035 0.965 0.750
Br8 0.186 0.287 0.386
Br9 0.652 0.284 0.530
Br10 0.287 0.186 0.886